1.
A plane-wave DFT calculation with GGA-PBE was carried out for crystalline Re4Os3 at its relaxed geometry.

## Properties
The calculation puts the density of states at the Fermi level at 1.01 states/eV/atom. The calculation puts the energy relative to the elements at 0.0643 eV/atom. The energy above the most stable polymorph in this dataset is 0.001 eV per atom. For the spin magnetization, the calculation gives 0.000 μB/cell.

Structure (POSCAR):
```
Re4Os3
1.0
1.945 4.348 0.002
-1.945 4.348 0.002
0.000 0.868 6.089
Os Re
3 4
Direct
0.000 0.000 0.000
0.143 0.143 0.572
0.714 0.714 0.856
0.572 0.572 0.285
0.857 0.857 0.429
0.431 0.431 0.715
0.283 0.283 0.142
```


2.
A plane-wave DFT calculation with GGA-PBE was carried out for crystalline Re4Os3 at its relaxed geometry.

## Properties
The calculation puts the density of states at the Fermi level at 1.36 states/eV/atom. The calculation puts the energy relative to the elements at 0.5074 eV/atom. The energy above the most stable polymorph in this dataset is 0.444 eV per atom. For the spin magnetization, the calculation gives 0.956 μB/cell.

Structure (POSCAR):
```
Re4Os3
1.0
10.162 -0.169 0.568
9.304 3.813 -1.585
-9.829 -0.743 2.541
Os Re
3 4
Direct
0.500 0.500 0.000
0.785 0.785 0.000
0.215 0.215 0.000
0.643 0.643 0.000
0.357 0.357 0.000
0.927 0.927 0.000
0.073 0.073 0.000
```


3.
A plane-wave DFT calculation with GGA-PBE was carried out for crystalline ReOs8 at its relaxed geometry.

## Properties
The calculation puts the density of states at the Fermi level at 1.01 states/eV/atom. The calculation puts the energy relative to the elements at 0.1170 eV/atom. For the spin magnetization, the calculation gives 0.000 μB/cell.

Structure (POSCAR):
```
ReOs8
1.0
-2.696 -5.332 1.287
2.915 4.746 2.516
-5.176 3.026 -1.188
Os Re
8 1
Direct
0.333 0.667 0.000
0.333 0.333 0.666
0.000 0.667 0.667
0.000 0.333 0.333
0.333 0.000 0.333
0.667 0.333 0.000
0.667 0.667 0.334
0.667 0.000 0.667
0.000 0.000 0.000
```


4.
A plane-wave DFT calculation with GGA-PBE was carried out for crystalline ReOs5 at its relaxed geometry.

## Properties
The calculation puts the density of states at the Fermi level at 1.33 states/eV/atom. The calculation puts the energy relative to the elements at 0.8180 eV/atom. The energy above the most stable polymorph in this dataset is 0.874 eV per atom. For the spin magnetization, the calculation gives 0.000 μB/cell.

Structure (POSCAR):
```
ReOs5
1.0
0.000 3.583 3.583
3.583 0.000 3.583
3.583 3.583 0.000
Os Re
5 1
Direct
0.625 0.625 0.126
0.126 0.625 0.625
0.250 0.250 0.250
0.625 0.625 0.625
0.625 0.126 0.625
0.000 0.000 0.000
```